# 1
# PmRu2C3

PmRu2C3 after structural relaxation (PBE, the Alexandria database).

Computed properties:
* size of the total moment: 0.00 μB per atom
* E: -8.36 eV per atom
* volume: 14.3 Å³ per atom

Lattice parameters (Å, degrees): 7.0387 9.1881 5.2995 90.00 90.00 90.00
Space group Cmcm (No. 63)
One atom of each set of equivalent atoms:
Pm1 0.0000 0.2124 0.2500
Ru1 0.1934 0.5000 0.0000
C1 0.0000 0.4199 0.7500
C2 0.0967 0.0628 0.7500

---

# 2
# Pm12Ru3C5

Pm12Ru3C5 after structural relaxation (PBE, the Alexandria database).

Computed properties:
* size of the total moment: 0.00 μB per atom
* E: -6.55 eV per atom
* volume: 24.7 Å³ per atom

Lattice parameters (Å, degrees): 15.8083 15.8083 15.8083 90.00 90.00 90.00
Space group Ia-3d (No. 230)
One atom of each set of equivalent atoms:
Pm1 0.0252 0.0554 0.6531
Ru1 0.0000 0.2500 0.1250
C1 0.0000 0.0000 0.0000
C2 0.0000 0.2500 0.3750

---

# 3
# Pm6Ru2C

Pm6Ru2C after structural relaxation (PBE, the Alexandria database).

Computed properties:
* size of the total moment: 0.00 μB per atom
* E: -6.42 eV per atom
* volume: 25.6 Å³ per atom

Lattice parameters (Å, degrees): 12.6351 3.8987 9.3726 90.00 92.34 90.00
Space group C2/m (No. 12)
One atom of each set of equivalent atoms:
Pm1 0.0722 0.0000 0.2509
Pm2 0.1330 0.5000 0.9450
Pm3 0.1486 0.5000 0.5733
Ru1 0.2397 0.5000 0.2554
C1 0.0000 0.0000 0.0000

---

# 4
# Pm2RuC2

Pm2RuC2 after structural relaxation (PBE, the Alexandria database).

Computed properties:
* size of the total moment: 0.00 μB per atom
* excess energy over the best structure of this formula in the dataset: 0 kJ/mol of formula units
* volume: 17.5 Å³ per atom

Lattice parameters (Å, degrees): 6.5341 5.3228 10.0648 90.00 90.00 90.00
Space group Pnma (No. 62)
One atom of each set of equivalent atoms:
Pm1 0.0201 0.2500 0.2174
Pm2 0.1887 0.2500 0.5505
Ru1 0.2283 0.2500 0.8603
C1 0.0333 0.7500 0.2445
C2 0.1825 0.7500 0.5441

---

# 5
# PmRuC2

PmRuC2 after structural relaxation (PBE, the Alexandria database).

Computed properties:
* size of the total moment: 0.00 μB per atom
* excess energy over the best structure of this formula in the dataset: 207 kJ/mol of formula units
* volume: 13.0 Å³ per atom

Lattice parameters (Å, degrees): 3.3720 3.3720 15.8841 90.00 90.00 120.00
Space group R-3m (No. 166, hexagonal axes)
One atom of each set of equivalent atoms:
Pm1 0.0000 0.0000 0.0000
Ru1 0.0000 0.0000 0.5000
C1 0.0000 0.0000 0.2291

---

# 6
# Pm3Ru2C4

Pm3Ru2C4 after structural relaxation (PBE, the Alexandria database).

Computed properties:
* size of the total moment: 0.00 μB per atom
* E: -7.84 eV per atom
* volume: 15.9 Å³ per atom

Lattice parameters (Å, degrees): 14.7456 3.4208 5.7477 90.00 98.18 90.00
Space group C2/m (No. 12)
One atom of each set of equivalent atoms:
Pm1 0.0000 0.0000 0.0000
Pm2 0.1432 0.0000 0.5498
Ru1 0.1901 0.5000 0.0700
C1 0.0015 0.5000 0.6159
C2 0.2419 0.0000 0.2215

---

# 7
# Pm2Ru3C2

Pm2Ru3C2 after structural relaxation (PBE, the Alexandria database).

Computed properties:
* size of the total moment: 0.00 μB per atom
* E: -7.84 eV per atom
* volume: 15.6 Å³ per atom

Lattice parameters (Å, degrees): 10.4395 3.0304 7.4039 90.00 110.87 90.00
Space group C2/m (No. 12)
One atom of each set of equivalent atoms:
Pm1 0.1396 0.0000 0.2759
Ru1 0.0000 0.5000 0.5000
Ru2 0.1472 0.5000 0.8843
C1 0.1358 0.0000 0.6826

---

# 8
# PmRuC

PmRuC after structural relaxation (PBE, the Alexandria database).

Computed properties:
* size of the total moment: 0.00 μB per atom
* excess energy over the best structure of this formula in the dataset: 8 kJ/mol of formula units
* volume: 16.5 Å³ per atom

Lattice parameters (Å, degrees): 3.4048 3.4048 4.9186 90.00 90.00 120.00
Space group P3m1 (No. 156)
One atom of each set of equivalent atoms:
Pm1 0.0000 0.0000 0.0000
Ru1 0.6667 0.3333 0.5255
C1 0.3333 0.6667 0.6485

---

Question: What is the formula in the seventh record?
Answer: Pm2Ru3C2

---

Question: What is the formula in the first record?
Answer: PmRu2C3

---

Question: Which of these has the lowest volume?
Answer: PmRuC2